VASP calculation (GGA+U) on crystalline Dy2Mn2O5 at its relaxed geometry.

Cell and atoms, written as CIF:
```
data_Dy2Mn2O5
_cell_length_a 11.9932
_cell_length_b 3.7557
_cell_length_c 6.5502
_cell_angle_alpha 90.00
_cell_angle_beta 122.64
_cell_angle_gamma 90.00
_symmetry_space_group_name_H-M 'C 1 2/m 1'
_symmetry_Int_Tables_number 12
loop_
_symmetry_equiv_pos_as_xyz
'x,y,z'
'-x,-y,-z'
'-x,y,-z'
'x,-y,z'
'x+1/2,y+1/2,z'
'-x+1/2,-y+1/2,-z'
'-x+1/2,y+1/2,-z'
'x+1/2,-y+1/2,z'
loop_
_atom_site_label
_atom_site_type_symbol
_atom_site_fract_x
_atom_site_fract_y
_atom_site_fract_z
_atom_site_occupancy
Dy1 Dy 0.1162 0.0000 0.4672 1
Mn1 Mn 0.1366 0.5000 0.9575 1
O1 O 0.0000 0.5000 0.5000 1
O2 O 0.1345 0.0000 0.8383 1
O3 O 0.1586 0.5000 0.3004 1
```

Electronic total energy ... -143.84 eV for the cell shown
Total moment ... 20.0 μB per cell
Calculated volume ... 13.8 Å³/atom